An optimized crystal structure of Li2HfPt. Source: Alexandria, functional PBE.

POSCAR file:
```
Li2HfPt
1.0
-2.7191 -3.3241 0.7205
-4.2832 0.5251 -0.5833
-1.9962 -1.9445 -3.3460
Hf Pt Li
1 1 2
Cartesian
0.0000 0.0000 0.0000 Hf
-4.4993 -2.3718 -1.6044 Pt
-2.2496 -1.1859 -0.8022 Li
-6.7489 -3.5577 -2.4066 Li
```

Calculated values
- Total moment: 0.00 μB/f.u.
- Total DFT energy (no corrections): -5.161 eV per atom
- ΔH_f (0 K): -0.820 eV/f.u.
- N(E_F): 1.000 states/eV/atom
- Relative energy among the computed polymorphs: 82.4 meV per atom
- Crystal system: cubic
- Space-group type: Fm-3m, No. 225
- Calculated density: 11.019 g cm⁻³

=====

An optimized crystal structure of Li2HfPt2. Source: Alexandria, functional PBE.

POSCAR file:
```
Li2HfPt2
1.0
-0.8676 2.0698 -2.6311
1.9574 -1.8913 -2.1333
-4.8286 -3.9164 -3.7614
Hf Pt Li
1 2 2
Cartesian
0.0000 0.0000 0.0000 Hf
-0.5438 -0.7223 -2.6616 Pt
-3.1951 -3.0156 -5.8641 Pt
-2.5757 -0.8787 -4.3873 Li
-1.1632 -2.8592 -4.1384 Li
```

Calculated values
- Total moment: 0.00 μB/f.u.
- Total DFT energy (no corrections): -5.866 eV per atom
- ΔH_f (0 K): -3.468 eV/f.u.
- N(E_F): 0.489 states/eV/atom
- Relative energy among the computed polymorphs: 36.1 meV per atom
- Crystal system: tetragonal
- Space-group type: I4/mmm, No. 139
- Calculated density: 11.821 g cm⁻³